(1)
Compound: KNa2GaSn
Source: Alexandria
Functional: PBE
Structure: optimized geometry

Cell: 5.7148 5.7148 5.5209 Å, 90.00 90.00 90.00°
Closest atoms and distances in Å follow each position.
Element x y z (fractional)
K (0.5000, 0.5000, 0.5000)  8 Na 3.97, 4 Sn 4.04
Sn (0.0000, 0.0000, 0.5000)  2 Ga 2.76
Ga (0.0000, 0.0000, 0.0000)  2 Sn 2.76, 4 Na 2.86
Na (0.0000, 0.5000, 0.0000)  2 Ga 2.86
Na (0.5000, 0.0000, 0.0000)  2 Ga 2.86

* space group: P4/mmm, No. 123
* ΔH_f (0 K): -13 meV/atom
* V: 36.06 Å³/atom
* E_tot: -10.832 eV/cell

---

(2)
Compound: KNa2GaSn
Source: Alexandria
Functional: PBE
Structure: optimized geometry

Cell: 5.9513 5.9513 5.5812 Å, 90.00 90.00 90.00°
Closest atoms and distances in Å follow each position.
Element x y z (fractional)
Na (0.0000, 0.5000, 0.0000)  2 Sn 2.98
K (0.5000, 0.5000, 0.5000)  8 Na 4.08, 4 Ga 4.21
Na (0.5000, 0.0000, 0.0000)  2 Sn 2.98
Ga (0.0000, 0.0000, 0.5000)  2 Sn 2.79
Sn (0.0000, 0.0000, 0.0000)  2 Ga 2.79, 4 Na 2.98

* space group: P4/mmm, No. 123
* ΔH_f (0 K): 14 meV/atom
* V: 39.53 Å³/atom
* E_tot: -10.693 eV/cell

---

(3)
Compound: K2Na4GaSn2
Source: Alexandria
Functional: PBE
Structure: optimized geometry

Cell: 5.6908 8.1287 8.1287 Å, 57.27 76.99 76.99°
Closest atoms and distances in Å follow each position.
Element x y z (fractional)
Sn (0.2802, 0.1838, 0.1838)  1 Ga 2.60
Na (0.8226, 0.9168, 0.3430)  1 Na 3.32, 3 Sn 3.34-3.41, 1 Ga 3.36, 3 K 3.61-3.63
K (0.3152, 0.6368, 0.6368)  6 Na 3.61-3.63, 4 Sn 3.69-3.95, 1 K 3.93
Na (0.1774, 0.0832, 0.6570)  1 Na 3.32, 3 Sn 3.34-3.41, 1 Ga 3.36, 3 K 3.61-3.63
Na (0.1774, 0.6570, 0.0832)  1 Na 3.32, 3 Sn 3.34-3.41, 1 Ga 3.36, 3 K 3.61-3.63
K (0.6848, 0.3632, 0.3632)  6 Na 3.61-3.63, 4 Sn 3.69-3.95, 1 K 3.93
Ga (0.5000, 0.0000, 0.0000)  2 Sn 2.60
Sn (0.7198, 0.8162, 0.8162)  1 Ga 2.60
Na (0.8226, 0.3430, 0.9168)  1 Na 3.32, 3 Sn 3.34-3.41, 1 Ga 3.36, 3 K 3.61-3.63

* space group: C2/m, No. 12
* ΔH_f (0 K): -108 meV/atom
* V: 33.97 Å³/atom
* E_tot: -19.479 eV/cell

---

- The highest E_tot belongs to which entry?
  number 2

---

- What is the formula in the first record?
  KNa2GaSn